(1)
ZrGe2ClO | PBE | relaxed

Geometry as POSCAR:
```
ZrGe2ClO
1.0
4.8269 0.0000 0.0000
0.0000 4.7590 0.0000
0.0000 0.0000 4.8269
Ge O Zr Cl
2 1 1 1
direct
0.0000 0.0000 0.5000
0.5000 0.0000 0.0000
0.5000 0.5000 0.5000
0.0000 0.5000 0.0000
0.0000 0.0000 0.0000
```

Results
SG: P4/mmm
Formation energy (no corrections) in eV per atom: 0.8791



(2)
NbZnMo | PBE | relaxed

Geometry as POSCAR:
```
NbZnMo
1.0
5.9760 0.0000 0.0059
0.0000 3.5932 0.0000
-2.8309 0.0000 9.0400
Zn Mo Nb
4 4 4
direct
0.6632 0.0000 0.3297
0.3368 0.0000 0.6703
0.6632 0.5000 0.8297
0.3368 0.5000 0.1703
0.5000 0.5000 0.5000
0.5000 0.0000 0.0000
0.0000 0.0000 0.0000
0.0000 0.5000 0.5000
0.8256 0.0000 0.6522
0.1744 0.0000 0.3478
0.8256 0.5000 0.1522
0.1744 0.5000 0.8478
```

Results
SG: C2/m
Offset from the most stable computed form in meV per atom: 9.8
Calculated formation energy in eV/f.u.: 0.1



(3)
TbPmCoIr | PBE | relaxed

Geometry as POSCAR:
```
TbPmCoIr
1.0
4.8801 0.0000 0.0000
2.4400 4.2263 0.0000
2.4400 1.4088 3.9846
Co Ir Tb Pm
1 1 1 1
direct
0.7500 0.7500 0.7500
0.2500 0.2500 0.2500
0.5000 0.5000 0.5000
0.0000 0.0000 0.0000
```

Results
SG: F-43m
Calculated formation energy in eV/f.u.: -1.6



(4)
La5Si3H | PBE | relaxed

Geometry as POSCAR:
```
La5Si3H
1.0
0.2794 -3.3572 -7.3073
4.7999 -5.7968 2.8467
-8.1038 0.7326 3.7838
La Si H
10 6 2
direct
0.5000 0.5000 0.0000
0.0000 0.0000 0.0000
0.1762 0.0255 0.7017
0.5255 0.6762 0.7017
0.6762 0.1762 0.7017
0.0255 0.5255 0.7017
0.8238 0.9745 0.2983
0.4745 0.3238 0.2983
0.3238 0.8238 0.2983
0.9745 0.4745 0.2983
0.2500 0.2500 0.5000
0.7500 0.7500 0.5000
0.1128 0.3872 0.0000
0.8872 0.6128 0.0000
0.6128 0.1128 0.0000
0.3872 0.8872 0.0000
0.2500 0.7500 0.5000
0.7500 0.2500 0.5000
```

Results
SG: I4/mcm



(5)
BaIn2Co | PBE | relaxed

Geometry as POSCAR:
```
BaIn2Co
1.0
6.2387 -0.0283 0.0000
-3.2453 5.3282 0.0000
0.0000 0.0000 3.2644
Ba Co In
1 1 2
direct
0.5000 0.0000 0.5000
0.0000 0.5000 0.5000
0.0000 0.0000 0.0000
0.5000 0.5000 0.0000
```

Results
SG: Cmmm
Calculated formation energy in eV/f.u.: 1.9



(6)
NiAg2As | PBE | relaxed

Geometry as POSCAR:
```
NiAg2As
1.0
-1.5589 1.8062 3.5656
0.4323 -0.3442 4.2545
4.0792 4.1505 1.1656
Ag As Ni
2 1 1
direct
0.0195 0.0195 0.9783
0.2502 0.2502 0.2672
0.4765 0.4765 0.5927
0.7539 0.7539 0.6618
```

Results
SG: Cm
Calculated formation energy in eV/f.u.: 0.5



(7)
La2TbCe3Sb6 | PBE | relaxed

Geometry as POSCAR:
```
La2TbCe3Sb6
1.0
7.8422 -0.0015 -0.0005
-3.9204 6.7919 -0.0005
-1.3089 -2.2663 7.4015
La Tb Ce Sb
2 1 3 6
direct
0.3343 0.6657 0.0000
0.6657 0.3343 0.0000
0.0000 0.0000 0.0000
0.1692 0.8308 0.5000
0.8308 0.1692 0.5000
0.5000 0.5000 0.5000
0.9162 0.5896 0.7476
0.7592 0.7592 0.2555
0.0838 0.4104 0.2524
0.5896 0.9162 0.7476
0.2408 0.2408 0.7445
0.4104 0.0838 0.2524
```

Results
SG: C2/m
Formation energy (no corrections) in eV per atom: -1.1345



Calculated VASP energy in order - -4.0385; -7.3547; -6.7334; -5.5659; -3.1562; -3.9021; -5.8863 eV per atom